# 1
Material: Tb2CeN
Method: DFT, PBE
State: relaxed

The structure in POSCAR format:
```
Tb2CeN
1.0
-3.038 -1.541 -0.140
-0.340 -2.948 -1.679
0.942 -6.305 7.414
Ce N Tb
1 1 2
Direct
0.000 0.000 0.000
0.500 0.500 0.500
0.881 0.881 0.358
0.119 0.119 0.642
```

Summary:
distance to the lowest polymorph of the same formula: 0 meV per atom
formation energy (no corrections): -62.9 kJ/mol of atoms

# 2
Material: Tb5Ce2N5
Method: DFT, PBE
State: relaxed

The structure in POSCAR format:
```
Tb5Ce2N5
1.0
3.393 0.000 0.000
-1.696 5.545 -1.868
0.000 0.311 12.396
Tb Ce N
5 2 5
Direct
0.350 0.700 0.940
0.650 0.300 0.060
0.278 0.555 0.621
0.500 0.000 0.500
0.722 0.445 0.379
0.053 0.107 0.796
0.947 0.893 0.204
0.877 0.754 0.559
0.678 0.356 0.884
0.000 0.000 0.000
0.322 0.644 0.116
0.123 0.246 0.441
```

Summary:
formation energy (no corrections): -107.4 kJ/mol of atoms

# 3
Material: TbCe2N
Method: DFT, PBE
State: relaxed

The structure in POSCAR format:
```
TbCe2N
1.0
-0.459 1.435 -2.744
0.713 -2.651 -1.505
-8.589 -2.411 0.175
Ce Tb N
2 1 1
Direct
0.000 0.000 0.159
0.000 0.000 0.841
0.500 0.500 0.500
0.500 0.500 0.000
```

Summary:
distance to the lowest polymorph of the same formula: 326 meV per atom
formation energy (no corrections): -27.7 kJ/mol of atoms

# 4
Material: TbCe2TcN4
Method: DFT, PBE
State: relaxed

The structure in POSCAR format:
```
TbCe2TcN4
1.0
3.376 0.000 0.000
-1.688 5.945 0.000
0.000 0.000 11.660
Tb N Ce Tc
2 8 4 2
Direct
0.119 0.238 0.750
0.881 0.762 0.250
0.466 0.933 0.750
0.000 0.000 0.500
0.271 0.542 0.129
0.729 0.458 0.871
0.729 0.458 0.629
0.271 0.542 0.371
0.534 0.067 0.250
0.000 0.000 0.000
0.368 0.736 0.951
0.632 0.264 0.049
0.368 0.736 0.549
0.632 0.264 0.451
0.143 0.286 0.250
0.857 0.714 0.750
```

Summary:
formation energy (no corrections): -105.1 kJ/mol of atoms

# 5
Material: Tb2CeTcN4
Method: DFT, PBE
State: relaxed

The structure in POSCAR format:
```
Tb2CeTcN4
1.0
-0.451 0.969 -3.258
1.150 -5.981 -0.133
-11.386 -2.209 0.918
N Tb Tc Ce
8 4 2 2
Direct
0.268 0.536 0.131
0.268 0.536 0.369
0.451 0.902 0.750
0.732 0.464 0.869
0.000 0.000 0.000
0.000 0.000 0.500
0.549 0.098 0.250
0.732 0.464 0.631
0.631 0.262 0.457
0.369 0.738 0.957
0.631 0.262 0.043
0.369 0.738 0.543
0.855 0.710 0.750
0.145 0.290 0.250
0.887 0.774 0.250
0.113 0.226 0.750
```

Summary:
formation energy (no corrections): -105.1 kJ/mol of atoms

# 6
Material: TbCeTe2N
Method: DFT, PBE
State: relaxed

The structure in POSCAR format:
```
TbCeTe2N
1.0
4.166 0.000 0.000
0.000 4.166 0.000
0.000 0.000 15.884
Ce Tb Te N
2 2 4 2
Direct
0.500 0.000 0.566
0.000 0.500 0.434
0.500 0.000 0.134
0.000 0.500 0.866
0.500 0.000 0.315
0.000 0.500 0.685
0.500 0.000 0.917
0.000 0.500 0.083
0.000 0.000 0.500
0.500 0.500 0.500
```

Summary:
formation energy (no corrections): -134.5 kJ/mol of atoms

# 7
Material: Tb4Ce2Te3N2
Method: DFT, PBE
State: relaxed

The structure in POSCAR format:
```
Tb4Ce2Te3N2
1.0
4.645 0.000 0.000
0.000 4.645 0.000
-2.323 -2.323 12.784
N Ce Te Tb
2 2 3 4
Direct
0.605 0.605 0.211
0.395 0.395 0.789
0.693 0.693 0.386
0.307 0.307 0.614
0.825 0.825 0.649
0.175 0.175 0.351
0.000 0.000 0.000
0.082 0.582 0.165
0.918 0.418 0.835
0.418 0.918 0.835
0.582 0.082 0.165
```

Summary:
formation energy (no corrections): -115.2 kJ/mol of atoms

# 8
Material: Tb3Ce2ThN6
Method: DFT, PBE
State: relaxed

The structure in POSCAR format:
```
Tb3Ce2ThN6
1.0
6.155 0.000 0.001
-3.076 5.331 0.001
-1.027 -1.778 5.796
Ce Th N Tb
2 1 6 3
Direct
0.666 0.334 0.000
0.334 0.666 0.000
0.000 0.000 0.000
0.582 0.917 0.750
0.083 0.418 0.250
0.251 0.251 0.750
0.418 0.083 0.250
0.917 0.582 0.750
0.749 0.749 0.250
0.832 0.168 0.500
0.168 0.832 0.500
0.500 0.500 0.500
```

Summary:
formation energy (no corrections): -154.0 kJ/mol of atoms

no.,DOS(E_F) (states/eV per atom),density (Mg/m³)
1,1.55,8.126
2,1.09,8.083
3,1.90,8.606
4,0.17,8.419
5,0.64,8.717
6,0.23,6.844
7,1.45,7.987
8,0.53,9.368